(1)
LiCr: relaxed, GGA-PBE.

Lattice parameters (Å, degrees): 9.0919 9.0919 2.2555 90.00 90.00 120.00
Space group P6_3/m (No. 176)
One atom of each set of equivalent atoms:
Li 0.0676 0.2998 0.2500
Cr 0.1593 0.6149 0.2500

## Properties
* volume: 13.5 Å³/atom
* magnetization: 0.002 Bohr magnetons per cell
* offset from the most stable computed form: 301.6 meV/atom
* theoretical density: 3.64 Mg/m³
* formation energy: 13.41 kcal/mol of atoms



(2)
LiCr: relaxed, GGA-PBE.

Lattice parameters (Å, degrees): 4.6340 4.6340 5.4034 90.00 90.00 120.00
Space group P6_3/mmc (No. 194)
One atom of each set of equivalent atoms:
Li 0.3333 0.6667 0.2500
Cr 0.3333 0.6667 0.7500

## Properties
* volume: 25.1 Å³/atom
* magnetization: 10.054 Bohr magnetons per cell
* offset from the most stable computed form: 1110.7 meV/atom
* theoretical density: 1.95 Mg/m³
* formation energy: 32.07 kcal/mol of atoms



(3)
LiCr: relaxed, GGA-PBE.

Lattice parameters (Å, degrees): 5.803 5.803 5.803 90.00 90.00 90.00
Space group Fd-3m (No. 227, origin choice 2)
One atom of each set of equivalent atoms:
Li 0.125 0.125 0.125
Cr 0.125 0.125 0.625

## Properties
* volume: 12.2 Å³/atom
* magnetization: 0.000 Bohr magnetons per cell
* offset from the most stable computed form: 454.4 meV/atom
* theoretical density: 4.01 Mg/m³
* formation energy: 16.94 kcal/mol of atoms



(4)
LiCr3: relaxed, GGA-PBE.

Lattice parameters (Å, degrees): 3.950 3.950 3.950 90.00 90.00 90.00
Space group Pm-3m (No. 221)
One atom of each set of equivalent atoms:
Li 0.000 0.000 0.000
Cr 0.000 0.000 0.500

## Properties
* volume: 15.4 Å³/atom
* magnetization: 0.001 Bohr magnetons per cell
* theoretical density: 4.39 Mg/m³
* formation energy: 60.18 kcal/mol of atoms



(5)
Li2Cr: relaxed, GGA-PBE.

Lattice parameters (Å, degrees): 10.894 2.960 6.904 90.00 105.71 90.00
Space group C2/m (No. 12)
One atom of each set of equivalent atoms:
Li 0.136 0.000 0.033
Li 0.192 0.000 0.632
Cr 0.024 0.500 0.304

## Properties
* volume: 17.9 Å³/atom
* magnetization: 17.491 Bohr magnetons per cell
* theoretical density: 2.04 Mg/m³
* formation energy: 11.93 kcal/mol of atoms



(6)
LiCr: relaxed, GGA-PBE.

Lattice parameters (Å, degrees): 2.270 4.107 5.530 90.00 96.79 90.00
Space group P2_1/m (No. 11)
One atom of each set of equivalent atoms:
Li 0.125 0.250 0.381
Cr 0.365 0.750 0.089

## Properties
* volume: 12.8 Å³/atom
* magnetization: 0.000 Bohr magnetons per cell
* offset from the most stable computed form: 140.1 meV/atom
* theoretical density: 3.82 Mg/m³
* formation energy: 9.69 kcal/mol of atoms



(7)
Li3Cr5: relaxed, GGA-PBE.

Lattice parameters (Å, degrees): 8.072 8.898 3.019 90.00 90.00 90.00
Space group Cmmm (No. 65)
One atom of each set of equivalent atoms:
Li 0.000 0.000 0.000
Li 0.242 0.000 0.500
Cr 0.000 0.279 0.500
Cr 0.000 0.500 0.000
Cr 0.250 0.250 0.000

## Properties
* volume: 13.6 Å³/atom
* magnetization: 7.158 Bohr magnetons per cell
* theoretical density: 4.30 Mg/m³
* formation energy: 9.64 kcal/mol of atoms



(8)
Li2Cr: relaxed, GGA-PBE.

Lattice parameters (Å, degrees): 14.440 3.901 2.981 90.00 90.00 90.00
Space group Cmcm (No. 63)
One atom of each set of equivalent atoms:
Li 0.160 0.248 0.250
Cr 0.000 0.200 0.750

## Properties
* volume: 14.0 Å³/atom
* magnetization: 0.000 Bohr magnetons per cell
* theoretical density: 2.61 Mg/m³
* formation energy: 9.20 kcal/mol of atoms